(1)
DFT (GGA-PBE) results for crystalline NaFeAgTe2S at its relaxed geometry.

## Properties
calculated density: 5.64 Mg/m³
crystal system: orthorhombic
electronic total energy: -3.952 eV/atom
space group: Cmcm, No. 63

a b c (Å): 6.9011 6.9011 10.7309
angles (deg): 90.00 90.00 146.88
Closest atoms and distances in Å follow each position.
Atoms (fractional coordinates):
Ag 0.5571 0.4429 0.2500  2 S 2.54, 2 Te 2.73
Ag 0.4429 0.5571 0.7500  2 S 2.54, 2 Te 2.73
Fe 0.0000 0.0000 0.0000  4 Te 2.70, 2 S 2.81
Fe 0.0000 0.0000 0.5000  4 Te 2.70, 2 S 2.81
Na 0.2617 0.7383 0.2500  2 S 3.03, 2 Te 3.15, 2 Ag 3.35
Na 0.7383 0.2617 0.7500  2 S 3.03, 2 Te 3.15, 2 Ag 3.35
S 0.9359 0.0641 0.2500  2 Ag 2.54, 2 Fe 2.81
S 0.0641 0.9359 0.7500  2 Ag 2.54, 2 Fe 2.81
Te 0.6389 0.3611 0.0166  2 Fe 2.70, 1 Ag 2.73
Te 0.6389 0.3611 0.4834  2 Fe 2.70, 1 Ag 2.73
Te 0.3611 0.6389 0.5166  2 Fe 2.70, 1 Ag 2.73
Te 0.3611 0.6389 0.9834  2 Fe 2.70, 1 Ag 2.73

---

(2)
DFT (GGA-PBE) results for crystalline Dy2HoSn3Ir2Pd at its relaxed geometry.

## Properties
calculated density: 11.51 Mg/m³
crystal system: orthorhombic
electronic total energy: -6.277 eV/atom
space group: Amm2, No. 38

a b c (Å): 3.8935 7.5610 7.5610
angles (deg): 119.95 90.00 90.00
Closest atoms and distances in Å follow each position.
Atoms (fractional coordinates):
Dy 0.0000 0.4101 0.0001  4 Ir 3.01, 1 Pd 3.10, 6 Sn 3.14-3.35
Dy 0.0000 0.0001 0.4101  4 Ir 3.01, 1 Pd 3.10, 6 Sn 3.14-3.35
Ho 0.0000 0.5901 0.5901  4 Ir 3.00, 1 Pd 3.10, 6 Sn 3.14-3.35
Ir 0.5000 0.6664 0.3340  3 Sn 2.81-2.82, 2 Ho 3.00, 4 Dy 3.01
Ir 0.5000 0.3340 0.6664  3 Sn 2.81-2.82, 2 Ho 3.00, 4 Dy 3.01
Pd 0.0000 0.9995 0.9995  6 Sn 2.79-2.80, 1 Ho 3.10, 2 Dy 3.10
Sn 0.5000 0.2648 0.2648  2 Pd 2.80, 2 Ir 2.81
Sn 0.5000 0.9998 0.7354  2 Pd 2.79, 2 Ir 2.81-2.82
Sn 0.5000 0.7354 0.9998  2 Pd 2.79, 2 Ir 2.81-2.82

---

(3)
DFT (GGA-PBE) results for crystalline AcLuBi at its relaxed geometry.

## Properties
calculated density: 9.08 Mg/m³
excess energy over the best structure of this formula in the dataset: 0.0 meV per atom
crystal system: cubic
electronic total energy: -4.398 eV/atom
space group: F-43m, No. 216

a b c (Å): 5.4063 5.4063 5.4063
angles (deg): 60.00 60.00 60.00
Closest atoms and distances in Å follow each position.
Atoms (fractional coordinates):
Ac 0.2500 0.2500 0.2500  4 Bi 3.31
Bi 0.0000 0.0000 0.0000  4 Ac 3.31, 4 Lu 3.31
Lu 0.7500 0.7500 0.7500  4 Bi 3.31

---

(4)
DFT (GGA-PBE) results for crystalline Mg3W at its relaxed geometry.

## Properties
calculated density: 5.62 Mg/m³
excess energy over the best structure of this formula in the dataset: 0.0 meV per atom
crystal system: orthorhombic
electronic total energy: -4.075 eV/atom
space group: Cmcm, No. 63

a b c (Å): 5.9252 6.1731 4.7256
angles (deg): 90.00 90.00 118.68
Closest atoms and distances in Å follow each position.
Atoms (fractional coordinates):
Mg 0.4972 0.4944 0.0000  10 Mg 2.94-3.16, 2 W 2.97
Mg 0.5008 0.9842 0.0000  8 Mg 2.86-3.16, 3 W 2.92-3.02
Mg 0.9834 0.9842 0.0000  8 Mg 2.86-3.16, 3 W 2.92-3.02
Mg 0.3362 0.1723 0.5000  10 Mg 2.94-3.16, 2 W 2.97
Mg 0.8500 0.6824 0.5000  8 Mg 2.86-3.16, 3 W 2.92-3.02
Mg 0.3325 0.6824 0.5000  8 Mg 2.86-3.16, 3 W 2.92-3.02
W 0.9775 0.4549 0.0000  2 W 2.71, 8 Mg 2.92-3.02
W 0.8559 0.2117 0.5000  2 W 2.71, 8 Mg 2.92-3.02

---

(5)
DFT (GGA-PBE) results for crystalline LuTlCoNi at its relaxed geometry.

## Properties
calculated density: 11.73 Mg/m³
excess energy over the best structure of this formula in the dataset: 285.2 meV per atom
crystal system: cubic
electronic total energy: -4.697 eV/atom
space group: F-43m, No. 216

a b c (Å): 4.6333 4.6333 4.6333
angles (deg): 60.00 60.00 60.00
Closest atoms and distances in Å follow each position.
Atoms (fractional coordinates):
Co 0.5000 0.5000 0.5000  4 Ni 2.84, 4 Lu 2.84
Lu 0.2500 0.2500 0.2500  4 Co 2.84, 4 Tl 2.84
Ni 0.7500 0.7500 0.7500  4 Co 2.84, 4 Tl 2.84
Tl 0.0000 0.0000 0.0000  4 Ni 2.84, 4 Lu 2.84

---

(6)
DFT (GGA-PBE) results for crystalline SrB2IrO6 at its relaxed geometry.

## Properties
calculated density: 5.76 Mg/m³
crystal system: trigonal
electronic total energy: -7.399 eV/atom
space group: R-3, No. 148

a b c (Å): 6.1452 6.1452 6.1452
angles (deg): 47.29 47.29 47.29
Closest atoms and distances in Å follow each position.
Atoms (fractional coordinates):
B 0.2328 0.2328 0.2328  3 O 1.38
B 0.7672 0.7672 0.7672  3 O 1.38
Ir 0.5000 0.5000 0.5000  6 O 2.01
O 0.5079 0.7185 0.0622  1 B 1.38
O 0.9378 0.4921 0.2815  1 B 1.38
O 0.2815 0.9378 0.4921  1 B 1.38
O 0.7185 0.0622 0.5079  1 B 1.38
O 0.0622 0.5079 0.7185  1 B 1.38
O 0.4921 0.2815 0.9378  1 B 1.38
Sr 0.0000 0.0000 0.0000  6 O 2.51

---

(7)
DFT (GGA-PBE) results for crystalline LuBeTl at its relaxed geometry.

## Properties
calculated density: 10.30 Mg/m³
excess energy over the best structure of this formula in the dataset: 0.0 meV per atom
crystal system: cubic
electronic total energy: -3.569 eV/atom
space group: F-43m, No. 216

a b c (Å): 4.4578 4.4578 4.4578
angles (deg): 60.00 60.00 60.00
Closest atoms and distances in Å follow each position.
Atoms (fractional coordinates):
Be 0.0000 0.0000 0.0000  4 Tl 2.73, 4 Lu 2.73
Lu 0.2500 0.2500 0.2500  4 Be 2.73
Tl 0.7500 0.7500 0.7500  4 Be 2.73

---

(8)
DFT (GGA-PBE) results for crystalline LuMgTe3Pb at its relaxed geometry.

## Properties
calculated density: 7.18 Mg/m³
excess energy over the best structure of this formula in the dataset: 0.0 meV per atom
crystal system: orthorhombic
electronic total energy: -3.961 eV/atom
space group: Cmcm, No. 63

a b c (Å): 7.7119 7.7119 11.2657
angles (deg): 90.00 90.00 146.97
Closest atoms and distances in Å follow each position.
Atoms (fractional coordinates):
Lu 0.5000 0.5000 0.0000  6 Te 3.07-3.12
Lu 0.5000 0.5000 0.5000  6 Te 3.07-3.12
Mg 0.9709 0.0291 0.2500  4 Te 2.81-2.84
Mg 0.0291 0.9709 0.7500  4 Te 2.81-2.84
Pb 0.2878 0.7122 0.2500  6 Te 3.35-3.65, 2 Mg 3.48
Pb 0.7122 0.2878 0.7500  6 Te 3.35-3.65, 2 Mg 3.48
Te 0.8590 0.1410 0.0456  1 Mg 2.84, 2 Lu 3.07
Te 0.5902 0.4098 0.2500  2 Mg 2.81, 2 Lu 3.12
Te 0.8590 0.1410 0.4544  1 Mg 2.84, 2 Lu 3.07
Te 0.1410 0.8590 0.5456  1 Mg 2.84, 2 Lu 3.07
Te 0.4098 0.5902 0.7500  2 Mg 2.81, 2 Lu 3.12
Te 0.1410 0.8590 0.9544  1 Mg 2.84, 2 Lu 3.07

---

(9)
DFT (GGA-PBE) results for crystalline SrCuSi2Pd at its relaxed geometry.

## Properties
calculated density: 5.72 Mg/m³
crystal system: tetragonal
electronic total energy: -4.829 eV/atom
space group: I-4m2, No. 119

a b c (Å): 5.7993 5.7993 5.7993
angles (deg): 136.52 136.52 63.17
Closest atoms and distances in Å follow each position.
Atoms (fractional coordinates):
Cu 0.0000 0.0000 0.0000  4 Si 2.48
Pd 0.5000 0.5000 0.0000  4 Si 2.48
Si 0.1252 0.6252 0.5000  1 Si 2.47, 2 Cu 2.48, 2 Pd 2.48
Si 0.3748 0.8748 0.5000  1 Si 2.47, 2 Pd 2.48, 2 Cu 2.48
Sr 0.7500 0.2500 0.5000  4 Cu 3.27, 4 Pd 3.27, 8 Si 3.28

---

(10)
DFT (GGA-PBE) results for crystalline Sc2MoH6 at its relaxed geometry.

## Properties
calculated density: 4.19 Mg/m³
crystal system: cubic
electronic total energy: -5.310 eV/atom
space group: Fm-3m, No. 225

a b c (Å): 4.7550 4.7550 4.7550
angles (deg): 60.00 60.00 60.00
Closest atoms and distances in Å follow each position.
Atoms (fractional coordinates):
H 0.7306 0.2693 0.2693  1 Mo 1.81
H 0.2693 0.7306 0.2693  1 Mo 1.81
H 0.7307 0.7307 0.2693  1 Mo 1.81
H 0.2693 0.2693 0.7306  1 Mo 1.81
H 0.7307 0.2693 0.7307  1 Mo 1.81
H 0.2693 0.7307 0.7307  1 Mo 1.81
Mo 0.0000 0.0000 0.0000  6 H 1.81
Sc 0.2500 0.2500 0.2500  12 H 2.38
Sc 0.7500 0.7500 0.7500  12 H 2.38

---

(11)
DFT (GGA-PBE) results for crystalline HoZrSb at its relaxed geometry.

## Properties
calculated density: 7.96 Mg/m³
crystal system: orthorhombic
electronic total energy: -6.194 eV/atom
space group: Amm2, No. 38

a b c (Å): 3.7081 8.0469 8.0469
angles (deg): 99.99 90.00 90.00
Closest atoms and distances in Å follow each position.
Atoms (fractional coordinates):
Ho 0.0000 0.7261 0.2768  3 Sb 2.96-3.13
Ho 0.0000 0.2768 0.7261  3 Sb 2.96-3.13
Ho 0.0000 0.9617 0.9617  3 Sb 3.26-3.30, 2 Ho 3.42, 4 Zr 3.45
Sb 0.0000 0.3672 0.0990  3 Ho 2.96-3.26, 4 Zr 3.04-3.10, 1 Sb 3.31
Sb 0.0000 0.0990 0.3672  3 Ho 2.96-3.26, 4 Zr 3.04-3.10, 1 Sb 3.31
Sb 0.0000 0.6426 0.6426  6 Zr 3.02-3.09, 3 Ho 3.13-3.30
Zr 0.5000 0.4031 0.4031  6 Sb 3.04-3.09
Zr 0.5000 0.9274 0.5962  4 Sb 3.02-3.10, 4 Ho 3.35-3.38
Zr 0.5000 0.5962 0.9274  4 Sb 3.02-3.10, 4 Ho 3.35-3.38

---

(12)
DFT (GGA-PBE) results for crystalline TbHf3Te2C2 at its relaxed geometry.

## Properties
calculated density: 10.84 Mg/m³
crystal system: trigonal
electronic total energy: -8.243 eV/atom
space group: P3m1, No. 156

a b c (Å): 3.5661 3.5661 13.5451
angles (deg): 90.00 90.00 120.00
Closest atoms and distances in Å follow each position.
Atoms (fractional coordinates):
C 0.0000 0.0000 0.0178  3 Hf 2.31, 3 Tb 2.53
C 0.0000 0.0000 0.4957  6 Hf 2.36
Hf 0.3333 0.6667 0.0959  3 C 2.31
Hf 0.3333 0.6667 0.4111  3 C 2.36
Hf 0.6667 0.3333 0.5810  3 C 2.36
Tb 0.6667 0.3333 0.9097  3 C 2.53
Te 0.6667 0.3333 0.2547  6 Hf 2.95-2.98
Te 0.3333 0.6667 0.7340  3 Hf 2.92, 3 Tb 3.15

---

(13)
DFT (GGA-PBE) results for crystalline SrPaTe at its relaxed geometry.

## Properties
calculated density: 6.98 Mg/m³
crystal system: cubic
electronic total energy: -4.640 eV/atom
space group: F-43m, No. 216

a b c (Å): 5.3139 5.3139 5.3139
angles (deg): 60.00 60.00 60.00
Closest atoms and distances in Å follow each position.
Atoms (fractional coordinates):
Pa 0.5000 0.5000 0.5000  4 Te 3.25
Sr 0.0000 0.0000 0.0000  4 Te 3.25
Te 0.2500 0.2500 0.2500  4 Sr 3.25, 4 Pa 3.25